First-principles (PBE) data for a relaxed Pm2TmSi crystal, as listed in the Alexandria database.

Output
**Formation energy without anion corrections**: -246 meV per atom
**SG**: P4/mmm, No. 123

Cell and atoms, written as extended XYZ:
```
4
Lattice="4.675 0.000 0.000 0.000 4.675 0.000 0.000 0.000 4.732" Properties=species:S:1:pos:R:3 pbc="T T T"
Pm 0.000 2.338 0.000
Pm 2.338 0.000 0.000
Tm 0.000 0.000 2.366
Si 2.338 2.338 2.366
```